1.
A plane-wave DFT calculation with PBE was carried out for an optimized crystal structure of LaTe2Au.

Values from the calculation:
Space group: R3m, No. 160
Uncorrected formation energy (eV/atom): -0.903

POSCAR file:
```
LaTe2Au
1.0
7.9639 0.8722 0.5644
6.1562 5.1269 0.5644
6.1562 2.6155 4.4455
La Te Au
1 2 1
direct
0.7604 0.7604 0.7604
0.2053 0.2053 0.2053
0.0195 0.0195 0.0195
0.5148 0.5148 0.5148
```


2.
A plane-wave DFT calculation with PBE was carried out for an optimized crystal structure of LaTe3Au3.

Values from the calculation:
Space group: R-3, No. 148
Uncorrected formation energy (eV/atom): -0.560

POSCAR file:
```
LaTe3Au3
1.0
7.2577 0.0000 3.6951
2.6882 6.7415 3.6951
0.1014 0.0687 8.7761
La Au Te
2 6 6
direct
0.6666 0.6666 0.0003
0.3334 0.3334 0.9997
0.5507 0.2577 0.2883
0.9032 0.5507 0.2883
0.4493 0.7423 0.7117
0.2577 0.9032 0.2883
0.7423 0.0968 0.7117
0.0968 0.4493 0.7117
0.4038 0.0842 0.7462
0.2342 0.5962 0.2538
0.0842 0.7658 0.7462
0.5962 0.9158 0.2538
0.7658 0.4038 0.7462
0.9158 0.2342 0.2538
```


3.
A plane-wave DFT calculation with PBE was carried out for an optimized crystal structure of LaTe2Au.

Values from the calculation:
Space group: R-3m, No. 166
Uncorrected formation energy (eV/atom): -0.791

POSCAR file:
```
LaTe2Au
1.0
-5.1630 -3.7335 -3.1612
-2.0183 -2.4683 -6.3580
-1.1473 -6.0673 -3.5300
Te Au La
2 1 1
direct
0.9932 0.9932 0.9932
0.5068 0.5068 0.5068
0.2500 0.2500 0.2500
0.7500 0.7500 0.7500
```


4.
A plane-wave DFT calculation with PBE was carried out for an optimized crystal structure of LaTe2Au.

Values from the calculation:
Space group: Cm, No. 8
Uncorrected formation energy (eV/atom): -0.953

POSCAR file:
```
LaTe2Au
1.0
6.2664 -0.0028 -0.0072
4.7122 4.1308 -0.0072
0.2078 0.0781 4.9157
Au Te La
1 2 1
direct
0.5422 0.5422 0.4149
0.7266 0.7266 0.7216
0.9734 0.9734 0.1353
0.2578 0.2578 0.2282
```


5.
A plane-wave DFT calculation with PBE was carried out for an optimized crystal structure of La2TeAu2.

Values from the calculation:
Space group: P4/mbm, No. 127
Uncorrected formation energy (eV/atom): -0.921

POSCAR file:
```
La2TeAu2
1.0
8.4677 0.0000 0.0000
0.0000 8.4677 0.0000
0.0000 0.0000 4.1393
Au Te La
4 2 4
direct
0.6254 0.8746 0.5000
0.8746 0.3746 0.5000
0.1254 0.6254 0.5000
0.3746 0.1254 0.5000
0.0000 0.0000 0.0000
0.5000 0.5000 0.0000
0.6685 0.1685 0.0000
0.8315 0.6685 0.0000
0.3315 0.8315 0.0000
0.1685 0.3315 0.0000
```


6.
A plane-wave DFT calculation with PBE was carried out for an optimized crystal structure of La2TmTe5Au.

Values from the calculation:
Space group: Cmc2_1, No. 36
Uncorrected formation energy (eV/atom): -1.283

POSCAR file:
```
La2TmTe5Au
1.0
4.4004 0.0000 0.0000
-2.2002 9.5893 0.0000
0.0000 0.0000 13.2411
Tm Te Au La
2 10 2 4
direct
0.1887 0.3774 0.0095
0.8113 0.6226 0.5095
0.6483 0.2967 0.5012
0.7106 0.4212 0.1681
0.2894 0.5788 0.6681
0.3517 0.7033 0.0012
0.4996 0.9993 0.7763
0.5004 0.0007 0.2763
0.9598 0.9196 0.5712
0.3028 0.6057 0.3425
0.0402 0.0804 0.0712
0.6972 0.3943 0.8425
0.5740 0.1479 0.9571
0.4260 0.8521 0.4571
0.1233 0.2467 0.3093
0.1140 0.2280 0.6889
0.8860 0.7720 0.1889
0.8767 0.7533 0.8093
```


7.
A plane-wave DFT calculation with PBE was carried out for an optimized crystal structure of La2ThAu.

Values from the calculation:
DFT formation energy (eV/atom): -0.214
Space group: Cm, No. 8

POSCAR file:
```
La2ThAu
1.0
-1.6425 3.0336 1.5321
-3.0620 -0.4110 2.1687
4.4987 -0.0844 9.5728
Au Th La
1 1 2
direct
0.6672 0.6672 0.9989
0.5002 0.5002 0.5002
0.0717 0.0717 0.7835
0.2609 0.2609 0.2174
```


8.
A plane-wave DFT calculation with PBE was carried out for an optimized crystal structure of La3ThAu7.

Values from the calculation:
DFT formation energy (eV/atom): -0.707
Space group: Cmcm, No. 63

POSCAR file:
```
La3ThAu7
1.0
-0.9846 -1.3211 -3.5459
-7.0314 -6.1913 6.4149
-9.1300 9.3760 -0.9582
Au La Th
14 6 2
direct
0.7230 0.4459 0.9347
0.6186 0.2372 0.2500
0.6019 0.2038 0.6379
0.2770 0.5541 0.0653
0.4700 0.9400 0.9129
0.7230 0.4459 0.5653
0.3981 0.7962 0.3621
0.3981 0.7962 0.1379
0.6019 0.2038 0.8621
0.5300 0.0600 0.0871
0.5300 0.0600 0.4129
0.2770 0.5541 0.4347
0.4700 0.9400 0.5871
0.3814 0.7628 0.7500
0.7982 0.5963 0.2500
0.1373 0.2747 0.0557
0.8627 0.7253 0.9443
0.1373 0.2747 0.4443
0.2018 0.4037 0.7500
0.8627 0.7253 0.5557
0.0116 0.0232 0.7500
0.9884 0.9768 0.2500
```